Entry 1:
Y2ZnRu: relaxed, PBE.

As for the calculated formation energy: -0.04 eV per atom.

The space group is Pmm2 (No. 25) and the conventional cell measures 3.484, 4.548 and 5.779 Å, with angles of 90.00, 90.00 and 90.00 degrees. Symmetry generates all atoms from Y at (0.000, 0.000, 0.000), Y at (0.500, 0.500, 0.389), Zn at (0.000, 0.000, 0.516) and Ru at (0.500, 0.500, 0.904).

=====

Entry 2:
CdInAg2: relaxed, PBE.

As for the calculated formation energy: 0.19 eV per atom.

The space group is Immm (No. 71) and the conventional cell measures 3.002, 5.209 and 11.595 Å, with angles of 90.00, 90.00 and 90.00 degrees. Symmetry generates all atoms from Cd at (0.000, 0.000, 0.000), In at (0.000, 0.000, 0.500) and Ag at (0.000, 0.000, 0.249).

=====

Entry 3:
ZrPaPdRh: relaxed, PBE.

The value obtained for the energy above the most stable polymorph in this dataset is 0 meV/atom. As for the calculated formation energy: -0.70 eV per atom.

The space group is Amm2 (No. 38) and the conventional cell measures 4.238, 3.612 and 10.718 Å, with angles of 90.00, 90.00 and 90.00 degrees. Symmetry generates all atoms from Zr at (0.000, 0.000, 0.000), Pa at (0.500, 0.000, 0.279), Pd at (0.500, 0.000, 0.553) and Rh at (0.000, 0.000, 0.744).

=====

Entry 4:
La8Pr6Sm: relaxed, PBE.

The value obtained for the energy above the most stable polymorph in this dataset is 0 meV/atom. As for the calculated formation energy: 0.11 eV per atom.

The space group is R-3 (No. 148, hexagonal axes) and the conventional cell measures 10.0393, 10.0393 and 18.7290 Å, with angles of 90.00, 90.00 and 120.00 degrees. Symmetry generates all atoms from La at (0.0000, 0.0000, 0.2374), La at (0.0463, 0.2772, 0.9026), Pr at (0.0262, 0.2357, 0.4079) and Sm at (0.0000, 0.0000, 0.0000).

=====

Entry 5:
Ho2MgTc: relaxed, PBE.

As for the calculated formation energy: -0.03 eV per atom.

The space group is Fm-3m (No. 225) and the conventional cell measures 7.086, 7.086 and 7.086 Å, with angles of 90.00, 90.00 and 90.00 degrees. Symmetry generates all atoms from Ho at (0.250, 0.250, 0.250), Mg at (0.000, 0.000, 0.000) and Tc at (0.000, 0.000, 0.500).

=====

Entry 6:
TlCo2Si: relaxed, PBE.

The value obtained for the energy above the most stable polymorph in this dataset is 345 meV/atom. For the formation energy (no corrections), the calculation gives 1.510 eV per formula unit.

The space group is I-42d (No. 122) and the conventional cell measures 6.621, 6.621 and 5.587 Å, with angles of 90.00, 90.00 and 90.00 degrees. Symmetry generates all atoms from Tl at (0.000, 0.000, 0.000), Co at (0.190, 0.250, 0.625) and Si at (0.000, 0.000, 0.500).

=====

Entry 7:
Ac2ErSn3Pt4: relaxed, PBE.

As for the calculated formation energy: -0.97 eV per atom.

The space group is P-4m2 (No. 115) and the conventional cell measures 4.715, 4.715 and 11.032 Å, with angles of 90.00, 90.00 and 90.00 degrees. Symmetry generates all atoms from Ac at (0.000, 0.500, 0.229), Er at (0.000, 0.000, 0.500), Sn at (0.000, 0.500, 0.878), Sn at (0.500, 0.500, 0.500), Pt at (0.000, 0.000, 0.000), Pt at (0.000, 0.500, 0.638) and Pt at (0.500, 0.500, 0.000).

=====

Entry 8:
Pa2Bi5: relaxed, PBE.

The value obtained for the energy above the most stable polymorph in this dataset is 103 meV/atom. As for the calculated formation energy: -0.04 eV per atom.

The space group is C2/c (No. 15) and the conventional cell measures 16.716, 6.244 and 8.627 Å, with angles of 90.00, 97.85 and 90.00 degrees. Symmetry generates all atoms from Pa at (0.106, 0.159, 0.070), Bi at (0.000, 0.170, 0.750), Bi at (0.086, 0.357, 0.411) and Bi at (0.235, 0.081, 0.810).